DFT (PBE) results for a relaxed Tb5Bi4Te crystal.

Properties
Crystal system: tetragonal
Total DFT energy (no corrections): -5.2511 eV per atom

Structure (CIF):
```
data_Tb5Bi4Te
_chemical_formula_sum 'Tb10 Bi8 Te2'
_cell_length_a 9.972
_cell_length_b 9.972
_cell_length_c 6.306
_cell_angle_alpha 90.00
_cell_angle_beta 90.00
_cell_angle_gamma 90.00
_space_group_name_H-M_alt 'I 4/m'
_space_group_IT_number 87
_space_group_name_Hall '-I 4'
loop_
_atom_site_label
_atom_site_fract_x
_atom_site_fract_y
_atom_site_fract_z
Tb1 0.000 0.000 0.000
Tb2 0.101 0.301 0.500
Bi1 0.100 0.299 0.000
Te1 0.000 0.000 0.500
```